First-principles (GGA-PBE) data for an optimized crystal structure of AcCe2Th, as listed in Alexandria via LeMat-Bulk.

Cell and atoms, written as extended XYZ:
```
4
Lattice="3.5804 0.0000 0.0000 0.0000 3.5804 0.0000 0.0000 0.0000 10.1847" Properties=species:S:1:pos:R:3 pbc="T T T"
Ce 0.0000 0.0000 2.3403
Ce 0.0000 0.0000 7.8444
Th 1.7902 1.7902 0.0000
Ac 1.7902 1.7902 5.0923
```

Symmetry ... P4/mmm
Distance to the lowest polymorph of the same formula ... 0 meV per atom
ΔH_f (0 K) ... 0.10 eV/atom

First-principles (GGA-PBE) data for an optimized crystal structure of Mg2ZrCd, as listed in Alexandria via LeMat-Bulk.

Cell and atoms, written as extended XYZ:
```
4
Lattice="6.0593 -0.0089 0.0241 -2.8835 5.3293 0.0241 0.5422 0.9083 2.7224" Properties=species:S:1:pos:R:3 pbc="T T T"
Mg 1.5879 2.6602 0.0241
Mg 0.0000 0.0000 0.0000
Zr 3.3008 0.4497 1.3732
Cd -1.1706 3.1188 1.3732
```

Symmetry ... C2/m
ΔH_f (0 K) ... -0.01 eV/atom

First-principles (GGA-PBE) data for an optimized crystal structure of NbGaGe, as listed in Alexandria via LeMat-Bulk.

Cell and atoms, written as extended XYZ:
```
6
Lattice="-0.5900 -3.0229 -2.0917 -0.1995 -2.0748 3.0547 -7.0514 2.2066 -1.2002" Properties=species:S:1:pos:R:3 pbc="T T T"
Ge -1.4923 -3.1492 0.0020
Ge -6.3485 0.2582 -0.2392
Nb -6.2607 -2.3696 0.2202
Nb -1.5802 -0.5215 -0.4574
Ga -4.0277 -1.6809 -1.4047
Ga -3.8131 -1.2101 1.1676
```

Symmetry ... Cmcm
Distance to the lowest polymorph of the same formula ... 0 meV per atom
ΔH_f (0 K) ... -0.34 eV/atom

First-principles (GGA-PBE) data for an optimized crystal structure of YTm3Mn, as listed in Alexandria via LeMat-Bulk.

Cell and atoms, written as extended XYZ:
```
5
Lattice="-4.0979 -2.1089 -2.4656 -0.8609 -3.1228 4.1020 -3.1282 3.6221 2.1010" Properties=species:S:1:pos:R:3 pbc="T T T"
Tm -1.5641 1.8111 1.0505
Tm -0.4305 -1.5614 2.0510
Tm -2.0489 -1.0545 -1.2328
Mn 0.0000 0.0000 0.0000
Y -4.0435 -0.8048 1.8687
```

Symmetry ... Pm-3m
ΔH_f (0 K) ... 0.21 eV/atom

First-principles (GGA-PBE) data for an optimized crystal structure of Co, as listed in Alexandria via LeMat-Bulk.

Cell and atoms, written as extended XYZ:
```
4
Lattice="3.8574 0.0000 0.0000 -1.9287 3.3406 0.0000 0.0000 0.0000 4.3570" Properties=species:S:1:pos:R:3 pbc="T T T"
Co 0.0000 0.0000 1.0893
Co 0.0000 0.0000 3.2678
Co 0.0000 2.2271 1.0893
Co 1.9287 1.1135 3.2678
```

Symmetry ... P6_3/mmc
Distance to the lowest polymorph of the same formula ... 912 meV per atom
ΔH_f (0 K) ... 0.91 eV/atom

First-principles (GGA-PBE) data for an optimized crystal structure of Rb2PrGaS4, as listed in Alexandria via LeMat-Bulk.

Cell and atoms, written as extended XYZ:
```
16
Lattice="8.4649 -0.1722 0.0271 -0.1781 8.4648 0.0271 -4.0396 -4.0424 6.4845" Properties=species:S:1:pos:R:3 pbc="T T T"
Pr -0.0891 4.2324 0.0136
Pr 6.3560 2.0390 3.2828
S -2.5370 -2.3858 6.3883
S 6.7841 6.6359 0.1503
S 3.7792 3.6289 3.1732
S 0.0164 4.0461 2.9020
S -2.2951 2.3164 6.1442
S 6.5424 1.9337 0.3944
S 0.4680 0.6213 3.3654
S 4.2308 0.2040 3.6366
Rb 2.2127 -2.1073 3.2557
Rb 4.2325 -0.0861 0.0136
Rb 4.1434 4.1463 0.0271
Rb -2.0198 -2.0212 3.2422
Ga 2.1236 2.1251 3.2693
Ga 4.4253 -4.2146 6.5115
```

Symmetry ... C2/c
Uncorrected formation energy ... -111 kJ/mol of atoms

First-principles (GGA-PBE) data for an optimized crystal structure of Ag5SbSe4, as listed in Alexandria via LeMat-Bulk.

Cell and atoms, written as extended XYZ:
```
10
Lattice="4.2322 0.0000 0.0000 0.0000 7.7219 -0.9024 -2.1161 -3.0019 7.7849" Properties=species:S:1:pos:R:3 pbc="T T T"
Ag 0.0000 6.2091 1.9946
Ag 2.1161 2.5811 4.4091
Ag 2.1161 3.8610 -0.4512
Ag 0.0000 2.1389 2.4734
Ag 2.1161 -1.4890 4.8878
Sb 2.1161 0.0000 0.0000
Se 0.0000 2.0566 -0.2401
Se 2.1161 0.3402 2.9005
Se 0.0000 4.3798 3.9819
Se 2.1161 2.6634 7.1225
```

Symmetry ... Immm
Distance to the lowest polymorph of the same formula ... 0 meV per atom
Uncorrected formation energy ... -5 kJ/mol of atoms

First-principles (GGA-PBE) data for an optimized crystal structure of PrScO3, as listed in Alexandria via LeMat-Bulk.

Cell and atoms, written as extended XYZ:
```
10
Lattice="-2.6081 -2.0234 -1.5941 3.8993 -4.5378 3.5947 -3.6041 0.7849 4.9004" Properties=species:S:1:pos:R:3 pbc="T T T"
O -2.0435 -2.7251 4.6911
O -3.3417 -2.0898 1.7970
O -5.0672 -1.7140 4.1430
O 2.7542 -4.0623 2.7579
O -0.2694 -3.0511 2.2098
O 1.0287 -3.6865 5.1039
Pr -1.2034 -1.0575 1.2035
Pr -1.1095 -4.7187 5.6974
Sc -3.6867 -3.0115 3.5285
Sc 1.3737 -2.7647 3.3724
```

Symmetry ... Cmcm
Uncorrected formation energy ... -324 kJ/mol of atoms